Record 1
The following is a PBE-GGA calculation of a geometry-optimized Tb7Nd3 structure, from the Alexandria database.

## Properties
- Crystal system: monoclinic
- SG: C2/m
- Magnetic moment: 0.000 Bohr magnetons per cell
- Energy: -4.656 eV/atom
- DFT formation energy: 0.015 eV per atom

```
Tb7Nd3
1.0
9.164 -2.541 0.000
9.164 2.541 0.000
-1.423 0.000 7.068
Tb Nd
7 3
direct
0.000 0.000 0.000 Tb
0.200 0.200 0.600 Tb
0.400 0.400 0.699 Tb
0.401 0.401 0.201 Tb
0.599 0.599 0.799 Tb
0.600 0.600 0.301 Tb
0.800 0.800 0.400 Tb
0.000 0.000 0.500 Nd
0.199 0.199 0.100 Nd
0.801 0.801 0.900 Nd
```

=====

Record 2
The following is a PBE-GGA calculation of a geometry-optimized Tb7Nd structure, from the Alexandria database.

## Properties
- Crystal system: cubic
- SG: Fm-3m
- Magnetic moment: 0.002 Bohr magnetons per cell
- Energy: -4.635 eV/atom
- DFT formation energy: 0.013 eV per atom

```
Tb7Nd
1.0
0.000 5.050 5.050
5.050 0.000 5.050
5.050 5.050 0.000
Tb Nd
7 1
direct
0.000 0.000 0.000 Tb
0.000 0.000 0.500 Tb
0.000 0.500 0.000 Tb
0.000 0.500 0.500 Tb
0.500 0.000 0.000 Tb
0.500 0.000 0.500 Tb
0.500 0.500 0.000 Tb
0.500 0.500 0.500 Nd
```